A relaxed NaTiF4 crystal, computed with PBEsol.

Lattice parameters (Å, degrees): 5.4670 7.7373 8.1265 103.51 90.00 90.00
Sites, in units of the cell vectors:
F1 0.1974 0.4548 0.3217
F2 0.3026 0.9548 0.3217
F3 0.4931 0.1773 0.1416
F4 0.9931 0.3227 0.8584
F5 0.8026 0.5452 0.6783
F6 0.4974 0.6441 0.1512
F7 0.4907 0.7263 0.5051
F8 0.9907 0.7737 0.4949
F9 0.5093 0.2737 0.4949
F10 0.0026 0.1441 0.1512
F11 0.6974 0.0452 0.6783
F12 0.9974 0.8559 0.8488
F13 0.5069 0.8227 0.8584
F14 0.5026 0.3559 0.8488
F15 0.0093 0.2263 0.5051
F16 0.0069 0.6773 0.1416
Ti1 0.2524 0.2053 0.3231
Ti2 0.7524 0.2947 0.6769
Ti3 0.7476 0.7947 0.6769
Ti4 0.2476 0.7053 0.3231
Na1 0.7596 0.4001 0.1025
Na2 0.2596 0.0999 0.8975
Na3 0.2404 0.5999 0.8975
Na4 0.7404 0.9001 0.1025

Fermi-level density of states	11.5	states/eV/cell
energy	-6.07	eV/atom
total moment	4.00	μB per cell